Record 1
Here is a geometry-optimized Gd2YMg3Tl2Cd structure from the Open Quantum Materials Database. Energies are from PBE.

The space-group type is Amm2, No. 38. The calculation puts the magnetic moment at 0.01 μB per cell. Its total DFT energy (no corrections) is -3.236 eV per atom.

a b c (Å): 4.641 7.579 7.579
angles (deg): 119.93 90.00 90.00
Fractional positions:
Gd 0.000 0.212 0.788
Gd 0.000 0.788 0.212
Y 0.000 0.364 0.364
Mg 0.500 0.028 0.028
Mg 0.500 0.548 0.788
Mg 0.500 0.788 0.548
Tl 0.500 0.121 0.454
Tl 0.500 0.454 0.121
Cd 0.000 0.788 0.788

=====

Record 2
Here is a geometry-optimized GdY2Mg3Tl2Cd structure from the Open Quantum Materials Database. Energies are from PBE.

The space-group type is Amm2, No. 38. The calculation puts the magnetic moment at 0.01 μB per cell. Its total DFT energy (no corrections) is -3.441 eV per atom.

a b c (Å): 4.632 7.572 7.572
angles (deg): 120.06 90.00 90.00
Fractional positions:
Gd 0.000 0.000 0.000
Y 0.000 0.152 0.576
Y 0.000 0.576 0.152
Mg 0.500 0.336 0.336
Mg 0.500 0.576 0.815
Mg 0.500 0.815 0.576
Tl 0.500 0.243 0.909
Tl 0.500 0.909 0.243
Cd 0.000 0.576 0.576

=====

Record 3
Here is a geometry-optimized Gd3Mg3TlZnCd structure from the Open Quantum Materials Database. Energies are from PBE.

The space-group type is P-6, No. 174. The calculation puts the magnetic moment at 0.01 μB per cell. Its total DFT energy (no corrections) is -2.868 eV per atom.

a b c (Å): 7.470 7.470 4.630
angles (deg): 90.00 90.00 120.00
Fractional positions:
Gd 0.009 0.430 0.000
Gd 0.421 0.991 0.000
Gd 0.570 0.579 0.000
Mg 0.013 0.763 0.500
Mg 0.237 0.250 0.500
Mg 0.750 0.987 0.500
Tl 0.667 0.333 0.500
Zn 0.333 0.667 0.500
Cd 0.000 0.000 0.000

=====

Record 4
Here is a geometry-optimized Gd3Mg3Zn2Cd structure from the Open Quantum Materials Database. Energies are from PBE.

The space-group type is P-62m, No. 189. The calculation puts the magnetic moment at 0.02 μB per cell. Its total DFT energy (no corrections) is -2.713 eV per atom.

a b c (Å): 7.285 7.285 4.651
angles (deg): 90.00 90.00 120.00
Fractional positions:
Gd 0.000 0.429 0.000
Gd 0.429 0.000 0.000
Gd 0.571 0.571 0.000
Mg 0.000 0.754 0.500
Mg 0.246 0.246 0.500
Mg 0.754 0.000 0.500
Zn 0.333 0.667 0.500
Zn 0.667 0.333 0.500
Cd 0.000 0.000 0.000

=====

Record 5
Here is a geometry-optimized Gd3Mg3ZnCd2 structure from the Open Quantum Materials Database. Energies are from PBE.

The space-group type is P-62m, No. 189. The calculation puts the magnetic moment at 0.05 μB per cell. Its total DFT energy (no corrections) is -2.663 eV per atom.

a b c (Å): 7.416 7.416 4.680
angles (deg): 90.00 90.00 120.00
Fractional positions:
Gd 0.000 0.414 0.000
Gd 0.414 0.000 0.000
Gd 0.586 0.586 0.000
Mg 0.000 0.765 0.500
Mg 0.235 0.235 0.500
Mg 0.765 0.000 0.500
Zn 0.000 0.000 0.000
Cd 0.333 0.667 0.500
Cd 0.667 0.333 0.500

=====

Record 6
Here is a geometry-optimized GdCdMo structure from the Open Quantum Materials Database. Energies are from PBE.

The space-group type is F-43m, No. 216. The calculation puts the magnetic moment at 2.95 μB per cell. Its total DFT energy (no corrections) is -4.649 eV per atom. The formation energy is 0.82 eV/atom.

a b c (Å): 4.811 4.811 4.811
angles (deg): 60.00 60.00 60.00
Fractional positions:
Gd 0.000 0.000 0.000
Cd 0.500 0.500 0.500
Mo 0.750 0.750 0.750

=====

Record 7
Here is a geometry-optimized GdCdNO structure from the Open Quantum Materials Database. Energies are from PBE.

The space-group type is Pmc2_1, No. 26. The calculation puts the energy relative to the lowest polymorph listed for this composition at 63.3 meV/atom. The calculation puts the magnetic moment at 0.00 μB per cell. Its total DFT energy (no corrections) is -6.056 eV per atom.

a b c (Å): 3.724 6.303 5.978
angles (deg): 90.00 90.00 90.00
Fractional positions:
Gd 0.000 0.174 0.000
Gd 0.000 0.826 0.500
Cd 0.500 0.350 0.505
Cd 0.500 0.650 0.005
N 0.500 0.325 0.871
N 0.500 0.675 0.371
O 0.000 0.154 0.372
O 0.000 0.846 0.872

=====

Record 8
Here is a geometry-optimized GdCdNO structure from the Open Quantum Materials Database. Energies are from PBE.

The space-group type is Pmc2_1, No. 26. The calculation puts the energy relative to the lowest polymorph listed for this composition at 15.2 meV/atom. The calculation puts the magnetic moment at 0.00 μB per cell. Its total DFT energy (no corrections) is -6.104 eV per atom.

a b c (Å): 3.918 6.269 5.499
angles (deg): 90.00 90.00 90.00
Fractional positions:
Gd 0.000 0.191 0.000
Gd 0.000 0.809 0.500
Cd 0.500 0.302 0.493
Cd 0.500 0.698 0.993
N 0.000 0.160 0.418
N 0.000 0.840 0.918
O 0.500 0.339 0.919
O 0.500 0.661 0.419

=====

Record 9
Here is a geometry-optimized GdCdNO structure from the Open Quantum Materials Database. Energies are from PBE.

The space-group type is P4/nmm, No. 129. The calculation puts the energy relative to the lowest polymorph listed for this composition at 175.5 meV/atom. The calculation puts the magnetic moment at 0.00 μB per cell. Its total DFT energy (no corrections) is -5.944 eV per atom.

a b c (Å): 3.875 3.875 8.094
angles (deg): 90.00 90.00 90.00
Fractional positions:
Gd 0.250 0.250 0.141
Gd 0.750 0.750 0.859
Cd 0.250 0.750 0.500
Cd 0.750 0.250 0.500
N 0.250 0.250 0.677
N 0.750 0.750 0.323
O 0.250 0.750 0.000
O 0.750 0.250 0.000

=====

Record 10
Here is a geometry-optimized GdCdNO structure from the Open Quantum Materials Database. Energies are from PBE.

The space-group type is Pca2_1, No. 29. The calculation puts the energy relative to the lowest polymorph listed for this composition at 81.3 meV/atom. The calculation puts the magnetic moment at 0.01 μB per cell. Its total DFT energy (no corrections) is -6.038 eV per atom.

a b c (Å): 6.334 7.468 6.114
angles (deg): 90.00 90.00 90.00
Fractional positions:
Gd 0.079 0.133 0.000
Gd 0.421 0.133 0.500
Gd 0.579 0.867 0.000
Gd 0.921 0.867 0.500
Cd 0.116 0.592 0.999
Cd 0.384 0.592 0.499
Cd 0.616 0.408 0.999
Cd 0.884 0.408 0.499
N 0.068 0.634 0.647
N 0.432 0.634 0.147
N 0.568 0.366 0.647
N 0.932 0.366 0.147
O 0.100 0.097 0.636
O 0.400 0.097 0.136
O 0.600 0.903 0.636
O 0.900 0.903 0.136

=====

Record 11
Here is a geometry-optimized GdCdNO structure from the Open Quantum Materials Database. Energies are from PBE.

The space-group type is P4/nmm, No. 129. The calculation puts the energy relative to the lowest polymorph listed for this composition at 0.0 meV/atom. The calculation puts the magnetic moment at 0.00 μB per cell. Its total DFT energy (no corrections) is -6.119 eV per atom.

a b c (Å): 4.934 4.934 4.659
angles (deg): 90.00 90.00 90.00
Fractional positions:
Gd 0.250 0.750 0.000
Gd 0.750 0.250 0.000
Cd 0.250 0.250 0.499
Cd 0.750 0.750 0.501
N 0.250 0.250 0.000
N 0.750 0.750 0.000
O 0.250 0.750 0.500
O 0.750 0.250 0.500

=====

Record 12
Here is a geometry-optimized GdCdNO structure from the Open Quantum Materials Database. Energies are from PBE.

The space-group type is Pca2_1, No. 29. The calculation puts the energy relative to the lowest polymorph listed for this composition at 62.5 meV/atom. The calculation puts the magnetic moment at 0.01 μB per cell. Its total DFT energy (no corrections) is -6.057 eV per atom.

a b c (Å): 6.443 8.172 4.956
angles (deg): 90.00 90.00 90.00
Fractional positions:
Gd 0.064 0.137 0.000
Gd 0.436 0.137 0.500
Gd 0.564 0.863 0.000
Gd 0.936 0.863 0.500
Cd 0.065 0.629 0.000
Cd 0.435 0.629 0.500
Cd 0.565 0.371 0.000
Cd 0.935 0.371 0.500
N 0.082 0.122 0.501
N 0.418 0.122 0.001
N 0.582 0.878 0.501
N 0.918 0.878 0.001
O 0.085 0.615 0.502
O 0.415 0.615 0.002
O 0.585 0.385 0.502
O 0.915 0.385 0.002